(1)
Compound: TmScGePt
Source: the Alexandria database
Functional: PBE
Structure: relaxed

Cell: 4.838 4.838 4.838 Å, 60.00 60.00 60.00°
Sites, in units of the cell vectors:
Sc 0.500 0.500 0.500
Ge 0.250 0.250 0.250
Tm 0.000 0.000 0.000
Pt 0.750 0.750 0.750

As for the space-group type: F-43m, No. 216. The value obtained for the total magnetic moment is 0.00 μB per formula unit. The formation energy is -3.8 eV/f.u.



(2)
Compound: SrPICl2
Source: the Alexandria database
Functional: PBE
Structure: relaxed

Cell: 5.374 9.580 5.374 Å, 90.00 90.00 90.00°
Site moments in Bohr magnetons follow the coordinates.
Sites, in units of the cell vectors:
Sr 0.000 0.000 0.000  0.00
Cl 0.500 0.000 0.000  0.01
P 0.000 0.500 0.000  0.97
Cl 0.000 0.000 0.500  0.01
I 0.500 0.500 0.500  -0.15

The value obtained for the raw formation energy is -2.54 eV/f.u. As for the space-group type: P4/mmm, No. 123. The value obtained for the total magnetic moment is 2.04 μB per formula unit.



(3)
Compound: AlFe2IrPt
Source: the Alexandria database
Functional: PBE
Structure: relaxed

Cell: 4.403 4.591 4.403 Å, 90.00 90.00 90.00°
Site moments in Bohr magnetons follow the coordinates.
Sites, in units of the cell vectors:
Fe 0.500 0.000 0.000  -0.02
Ir 0.000 0.000 0.000  -0.01
Al 0.000 0.500 0.000  0.00
Fe 0.000 0.000 0.500  -0.22
Pt 0.500 0.500 0.500  0.02

As for the space-group type: P4/mmm, No. 123. The value obtained for the total magnetic moment is 0.23 μB per formula unit. The formation energy is 5.7 eV/f.u.



(4)
Compound: Ir3ICl
Source: the Alexandria database
Functional: PBE
Structure: relaxed

Cell: 4.954 4.954 4.954 Å, 90.00 90.00 90.00°
Site moments in Bohr magnetons follow the coordinates.
Sites, in units of the cell vectors:
Ir 0.000 0.000 0.500  0.69
Ir 0.500 0.000 0.000  0.50
I 0.000 0.000 0.000  0.02
Ir 0.000 0.500 0.000  0.77
Cl 0.500 0.500 0.500  0.23

The value obtained for the raw formation energy is 11.13 eV/f.u. As for the space-group type: Pm-3m, No. 221. The value obtained for the total magnetic moment is 2.30 μB per formula unit.



(5)
Compound: NdPu2Tl3
Source: the Alexandria database
Functional: PBE
Structure: relaxed

Cell: 3.400 3.400 14.352 Å, 90.00 90.00 90.00°
Site moments in Bohr magnetons follow the coordinates.
Sites, in units of the cell vectors:
Pu 0.500 0.500 0.834  5.54
Nd 0.500 0.500 0.500  -0.01
Pu 0.500 0.500 0.166  5.54
Tl 0.000 0.000 0.000  -0.04
Tl 0.000 0.000 0.331  -0.01
Tl 0.000 0.000 0.669  -0.01

As for the space-group type: P4/mmm, No. 123. The value obtained for the total magnetic moment is 11.60 μB per formula unit. The formation energy is -0.8 eV/f.u.



(6)
Compound: Rb2TlAg2Cl6
Source: the Alexandria database
Functional: PBE
Structure: relaxed

Cell: 8.023 8.023 8.364 Å, 61.34 61.34 60.00°
Sites, in units of the cell vectors:
Tl 0.000 0.000 0.000
Ag 0.430 0.430 0.710
Cl 0.221 0.755 0.269
Rb 0.785 0.785 0.644
Cl 0.245 0.779 0.731
Cl 0.779 0.245 0.731
Cl 0.245 0.245 0.731
Ag 0.570 0.570 0.290
Cl 0.755 0.221 0.269
Rb 0.215 0.215 0.356
Cl 0.755 0.755 0.269

The value obtained for the raw formation energy is -11.39 eV/f.u. As for the space-group type: R-3m, No. 166. The value obtained for the total magnetic moment is 0.00 μB per formula unit.



(7)
Compound: CaPm2Au6
Source: the Alexandria database
Functional: PBE
Structure: relaxed

Cell: 3.748 8.588 8.588 Å, 53.35 77.40 77.40°
Sites, in units of the cell vectors:
Au 0.176 0.511 0.137
Pm 0.640 0.860 0.860
Au 0.824 0.863 0.489
Au 0.000 0.814 0.186
Au 0.824 0.489 0.863
Pm 0.360 0.140 0.140
Ca 0.500 0.500 0.500
Au 0.000 0.186 0.814
Au 0.176 0.137 0.511

As for the space-group type: Immm, No. 71. The value obtained for the total magnetic moment is 0.00 μB per formula unit. The formation energy is -6.3 eV/f.u.



(8)
Compound: La3InNi
Source: the Alexandria database
Functional: PBE
Structure: relaxed

Cell: 5.499 7.587 7.205 Å, 94.91 90.01 90.01°
Sites, in units of the cell vectors:
La 0.543 0.501 0.464
La 0.543 0.985 0.648
La 0.043 0.637 0.870
La 0.543 0.888 0.141
Ni 0.044 0.445 0.194
La 0.043 0.185 0.402
Ni 0.543 0.669 0.820
In 0.043 0.752 0.396
La 0.543 0.355 0.017
In 0.043 0.126 0.923

As for the space-group type: Pm, No. 6. The value obtained for the total magnetic moment is 0.00 μB per formula unit. The formation energy is -1.4 eV/f.u.